Crystalline AcY2N at its relaxed geometry, computed with PBE.

CIF file:
```
data_AcY2N
_symmetry_space_group_name_H-M 'P 4/m m m'
_symmetry_Int_Tables_number 123
_symmetry_space_group_name_Hall '-P 4 2'
_cell_length_a 3.301
_cell_length_b 3.301
_cell_length_c 8.935
_cell_angle_alpha 90.00
_cell_angle_beta 90.00
_cell_angle_gamma 90.00
loop_
_atom_site_label
_atom_site_fract_x
_atom_site_fract_y
_atom_site_fract_z
_atom_site_occupancy
Ac1 0.000 0.000 0.000 1
Y1 0.500 0.500 0.341 1
N1 0.000 0.000 0.500 1
```

Calculated values
Distance to the lowest polymorph of the same formula   607.6 meV/atom
Raw total energy   -6.384 eV per atom
D(E_F)   4.78 states/eV/f.u.